Compound: Ca2InCCl
Source: Alexandria via LeMat-Bulk
Functional: PBE
Structure: relaxed

Its final energy is -3.1307 eV/atom. For the calculated volume, the calculation gives 124.37 Å³/f.u. For the uncorrected formation energy, the calculation gives 0.43 eV/atom. For the magnetization, the calculation gives 0.19 μB/f.u.

The space group is P4/mmm (No. 123) and the conventional cell measures 5.323, 5.323 and 4.389 Å, with angles of 90.00, 90.00 and 90.00 degrees. The asymmetric unit holds Ca at (0.000, 0.500, 0.000), In at (0.000, 0.000, 0.500), C at (0.500, 0.500, 0.500) and Cl at (0.500, 0.500, 0.000).

Compound: CaLa2CCl
Source: Alexandria via LeMat-Bulk
Functional: PBE
Structure: relaxed

Its final energy is -4.6209 eV/atom. For the calculated volume, the calculation gives 174.31 Å³/f.u. For the uncorrected formation energy, the calculation gives -0.04 eV/atom. For the magnetization, the calculation gives 0.00 μB/f.u.

The space group is P4/mmm (No. 123) and the conventional cell measures 4.856, 4.856 and 7.391 Å, with angles of 90.00, 90.00 and 90.00 degrees. The asymmetric unit holds Ca at (0.000, 0.000, 0.000), La at (0.000, 0.500, 0.500), C at (0.500, 0.500, 0.500) and Cl at (0.500, 0.500, 0.000).

Compound: Ca2CClO
Source: Alexandria via LeMat-Bulk
Functional: PBE
Structure: relaxed

Its final energy is -3.8258 eV/atom. For the calculated volume, the calculation gives 93.17 Å³/f.u. For the uncorrected formation energy, the calculation gives 0.18 eV/atom. For the magnetization, the calculation gives 0.00 μB/f.u.

The space group is P4/mmm (No. 123) and the conventional cell measures 5.046, 5.046 and 3.659 Å, with angles of 90.00, 90.00 and 90.00 degrees. The asymmetric unit holds Ca at (0.000, 0.500, 0.000), C at (0.000, 0.000, 0.500), Cl at (0.000, 0.000, 0.000) and O at (0.500, 0.500, 0.500).

Compound: CaPCCl2
Source: Alexandria via LeMat-Bulk
Functional: PBE
Structure: relaxed

Its final energy is -3.0215 eV/atom. For the calculated volume, the calculation gives 158.45 Å³/f.u. For the uncorrected formation energy, the calculation gives 1.04 eV/atom. For the magnetization, the calculation gives 2.21 μB/f.u.

The space group is P4/mmm (No. 123) and the conventional cell measures 5.163, 5.163 and 5.944 Å, with angles of 90.00, 90.00 and 90.00 degrees. The asymmetric unit holds Ca at (0.000, 0.000, 0.000), P at (0.000, 0.000, 0.500), C at (0.500, 0.500, 0.500) and Cl at (0.000, 0.500, 0.000).

The evaluated calculated density for the records listed, in turn: 3237, 3480, 2560, 1614 kg/m3.